# TiNi12Sb3

Crystalline TiNi12Sb3 at its relaxed geometry (PBE-GGA, Alexandria).

It has space group P4/mmm (No. 123), with a = 3.7107 Å, b = 3.7107 Å, c = 14.7428 Å, α = 90.00°, β = 90.00° and γ = 90.00°. The inequivalent atoms are Ti at (0.0000, 0.0000, 0.0000), Ni at (0.0000, 0.5000, 0.1175), Ni at (0.0000, 0.5000, 0.3726), Ni at (0.5000, 0.5000, 0.0000), Ni at (0.5000, 0.5000, 0.2462), Ni at (0.5000, 0.5000, 0.5000), Sb at (0.0000, 0.0000, 0.2454) and Sb at (0.0000, 0.0000, 0.5000).

The calculation puts the energy relative to the elements, uncorrected at -0.222 eV per atom. As for the raw total energy: -5.82 eV/atom.

# TiNiSb3

Crystalline TiNiSb3 at its relaxed geometry (PBE-GGA, Alexandria).

It has space group Pm-3m (No. 221), with a = 4.9489 Å, b = 4.9489 Å, c = 4.9489 Å, α = 90.00°, β = 90.00° and γ = 90.00°. The inequivalent atoms are Ti at (0.0000, 0.0000, 0.0000), Ni at (0.5000, 0.5000, 0.5000) and Sb at (0.0000, 0.5000, 0.5000).

Its relative energy among the computed polymorphs is 0.0 meV per atom. The calculation puts the energy relative to the elements, uncorrected at 0.481 eV per atom. As for the raw total energy: -4.73 eV/atom.

# Ti7Ni2Sb

Crystalline Ti7Ni2Sb at its relaxed geometry (PBE-GGA, Alexandria).

It has space group Cmmm (No. 65), with a = 7.6320 Å, b = 11.9906 Å, c = 4.2316 Å, α = 90.00°, β = 90.00° and γ = 90.00°. The inequivalent atoms are Ti at (0.0000, 0.0000, 0.0000), Ti at (0.0000, 0.2554, 0.5000), Ti at (0.1913, 0.3764, 0.0000), Ni at (0.0000, 0.1915, 0.0000) and Sb at (0.0000, 0.5000, 0.5000).

The calculation puts the energy relative to the elements, uncorrected at 0.232 eV per atom. As for the raw total energy: -6.86 eV/atom.

What did the third record say?
# Ti7Ni2Sb

Crystalline Ti7Ni2Sb at its relaxed geometry (PBE-GGA, Alexandria).

It has space group Cmmm (No. 65), with a = 7.6320 Å, b = 11.9906 Å, c = 4.2316 Å, α = 90.00°, β = 90.00° and γ = 90.00°. The inequivalent atoms are Ti at (0.0000, 0.0000, 0.0000), Ti at (0.0000, 0.2554, 0.5000), Ti at (0.1913, 0.3764, 0.0000), Ni at (0.0000, 0.1915, 0.0000) and Sb at (0.0000, 0.5000, 0.5000).

The calculation puts the energy relative to the elements, uncorrected at 0.232 eV per atom. As for the raw total energy: -6.86 eV/atom.

Please write out number 2 again, unchanged.
# TiNiSb3

Crystalline TiNiSb3 at its relaxed geometry (PBE-GGA, Alexandria).

It has space group Pm-3m (No. 221), with a = 4.9489 Å, b = 4.9489 Å, c = 4.9489 Å, α = 90.00°, β = 90.00° and γ = 90.00°. The inequivalent atoms are Ti at (0.0000, 0.0000, 0.0000), Ni at (0.5000, 0.5000, 0.5000) and Sb at (0.0000, 0.5000, 0.5000).

Its relative energy among the computed polymorphs is 0.0 meV per atom. The calculation puts the energy relative to the elements, uncorrected at 0.481 eV per atom. As for the raw total energy: -4.73 eV/atom.

Q: Which of these has the highest energy relative to the elements, uncorrected?
A: TiNiSb3

Q: Among the records above, which one has the highest energy relative to the elements, uncorrected?
A: TiNiSb3